Entry 1:
DFT (PBE-GGA) results for Sm12HoEr6 after structural relaxation.

```
data_Sm12HoEr6
_chemical_formula_sum 'Sm36 Ho3 Er18'
_cell_length_a 14.7006
_cell_length_b 14.7006
_cell_length_c 10.4141
_cell_angle_alpha 90.00
_cell_angle_beta 90.00
_cell_angle_gamma 120.00
_space_group_name_H-M_alt 'R -3'
_space_group_IT_number 148
_space_group_name_Hall '-R 3'
loop_
_atom_site_label
_atom_site_type_symbol
_atom_site_fract_x
_atom_site_fract_y
_atom_site_fract_z
_atom_site_occupancy
Sm1 Sm 0.0548 0.2527 0.0799 1
Sm2 Sm 0.0648 0.2272 0.4189 1
Ho1 Ho 0.0000 0.0000 0.0000 1
Er1 Er 0.0512 0.2147 0.7594 1
```

Output
E_form ... 0.24 eV/atom
Mass density ... 7.60 g/cm3
Relative energy among the computed polymorphs ... 102.8 meV per atom

Entry 2:
DFT (PBE-GGA) results for UTe2Au after structural relaxation.

```
data_UTe2Au
_chemical_formula_sum 'U3 Te6 Au3'
_cell_length_a 3.5984
_cell_length_b 3.5984
_cell_length_c 30.1503
_cell_angle_alpha 90.00
_cell_angle_beta 90.00
_cell_angle_gamma 120.00
_space_group_name_H-M_alt 'R -3 m'
_space_group_IT_number 166
_space_group_name_Hall '-R 3 2"'
loop_
_atom_site_label
_atom_site_type_symbol
_atom_site_fract_x
_atom_site_fract_y
_atom_site_fract_z
_atom_site_occupancy
U1 U 0.0000 0.0000 0.0000 1
Te1 Te 0.0000 0.0000 0.1010 1
Au1 Au 0.0000 0.0000 0.5000 1
```

Output
Mass density ... 10.17 g/cm3
Uncorrected energy ... -57.36 eV/cell

Among the records above, which one has the lowest mass density? Sm12HoEr6

mass density of number 2 (UTe2Au)? 10.17 g/cm3

What is the mass density in the second record? 10.17 g/cm3